1.
# Sc3C

A relaxed Sc3C crystal (PBE, Alexandria via LeMat-Bulk).

Values from the calculation:
- size of the total moment (μB per cell) = 0.0
- energy of formation from the pure elements (eV per atom) = 0.217
- density (g/cm3) = 2.60
- polymorph energy (0 for the lowest one) (meV per atom) = 485

Cell lengths 8.4415, 8.4415, 3.0348 Å; angles 90.00, 90.00, 120.00 degrees
Space group P6_3/mmc (No. 194)
Asymmetric unit:
Sc  0.2175  0.4349  0.2500 x6
C  0.3333  0.6667  0.7500 x2

2.
# Tm3PuTe4

A relaxed Tm3PuTe4 crystal (PBE, Alexandria via LeMat-Bulk).

Values from the calculation:
- formation energy (no corrections) (eV/atom) = -1.169
- size of the total moment (μB per cell) = 12.3
- density (g/cm3) = 9.11
- polymorph energy (0 for the lowest one) (meV per atom) = 2

Cell lengths 6.1237, 6.1237, 12.2546 Å; angles 90.00, 90.00, 90.00 degrees
Space group I4/mmm (No. 139)
Asymmetric unit:
Tm  0.0000  0.0000  0.0000 x2
Tm  0.0000  0.5000  0.2500 x4
Pu  0.0000  0.0000  0.5000 x2
Te  0.0000  0.0000  0.2465 x4
Te  0.0000  0.5000  0.0000 x4

3.
# Ca3MoAs

A relaxed Ca3MoAs crystal (PBE, Alexandria via LeMat-Bulk).

Values from the calculation:
- size of the total moment (μB per cell) = 0.0
- energy of formation from the pure elements (eV per atom) = 0.756
- density (g/cm3) = 3.24
- polymorph energy (0 for the lowest one) (meV per atom) = 457

Cell lengths 5.3063, 5.3063, 5.3063 Å; angles 90.00, 90.00, 90.00 degrees
Space group Pm-3m (No. 221)
Asymmetric unit:
Ca  0.0000  0.0000  0.5000 x3
Mo  0.0000  0.0000  0.0000 x1
As  0.5000  0.5000  0.5000 x1

4.
# RbLi2Au

A relaxed RbLi2Au crystal (PBE, Alexandria via LeMat-Bulk).

Values from the calculation:
- size of the total moment (μB per cell) = 0.0
- energy of formation from the pure elements (eV per atom) = -0.227
- density (g/cm3) = 4.20

Cell lengths 4.6269, 4.6269, 18.9731 Å; angles 90.00, 90.00, 120.00 degrees
Space group R-3m (No. 166, hexagonal axes)
Asymmetric unit:
Rb  0.0000  0.0000  0.0000 x3
Li  0.0000  0.0000  0.1899 x6
Au  0.0000  0.0000  0.5000 x3

5.
# Y3Mg4Au4

A relaxed Y3Mg4Au4 crystal (PBE, Alexandria via LeMat-Bulk).

Values from the calculation:
- size of the total moment (μB per cell) = 0.0
- energy of formation from the pure elements (eV per atom) = -0.653
- density (g/cm3) = 7.66

Cell lengths 3.9523, 8.0780, 15.6331 Å; angles 90.00, 90.00, 90.00 degrees
Space group Immm (No. 71)
Asymmetric unit:
Y  0.0000  0.0000  0.0000 x2
Y  0.0000  0.5000  0.1111 x4
Mg  0.0000  0.3099  0.3293 x8
Au  0.0000  0.0000  0.2410 x4
Au  0.0000  0.2031  0.5000 x4

6.
# PH2S

A relaxed PH2S crystal (PBE, Alexandria via LeMat-Bulk).

Values from the calculation:
- size of the total moment (μB per cell) = 0.0
- density (g/cm3) = 2.27
- polymorph energy (0 for the lowest one) (meV per atom) = 542

Cell lengths 5.1318, 5.1318, 7.2371 Å; angles 90.00, 90.00, 90.00 degrees
Space group I4_1/amd (No. 141, origin choice 2)
Asymmetric unit:
P  0.0000  0.2500  0.3750 x4
H  0.0000  0.0000  0.5000 x8
S  0.0000  0.2500  0.8750 x4

7.
# AcZn2Ni3

A relaxed AcZn2Ni3 crystal (PBE, Alexandria via LeMat-Bulk).

Values from the calculation:
- size of the total moment (μB per cell) = 0.0
- energy of formation from the pure elements (eV per atom) = 0.005
- density (g/cm3) = 8.27
- polymorph energy (0 for the lowest one) (meV per atom) = 313

Cell lengths 4.0652, 4.0652, 25.9555 Å; angles 90.00, 90.00, 90.00 degrees
Space group I4/mmm (No. 139)
Asymmetric unit:
Ac  0.0000  0.0000  0.1418 x4
Zn  0.0000  0.0000  0.4063 x4
Zn  0.0000  0.5000  0.2500 x4
Ni  0.0000  0.0000  0.3072 x4
Ni  0.0000  0.5000  0.0451 x8

8.
# CaNb2Ru2

A relaxed CaNb2Ru2 crystal (PBE, Alexandria via LeMat-Bulk).

Values from the calculation:
- size of the total moment (μB per cell) = 0.0
- energy of formation from the pure elements (eV per atom) = -0.100
- density (g/cm3) = 6.87
- polymorph energy (0 for the lowest one) (meV per atom) = 0

Cell lengths 4.3661, 4.3661, 10.8511 Å; angles 90.00, 90.00, 90.00 degrees
Space group I4/mmm (No. 139)
Asymmetric unit:
Ca  0.0000  0.0000  0.0000 x2
Nb  0.0000  0.5000  0.2500 x4
Ru  0.0000  0.0000  0.3799 x4

9.
# Li3Mg2

A relaxed Li3Mg2 crystal (PBE, Alexandria via LeMat-Bulk).

Values from the calculation:
- size of the total moment (μB per cell) = 0.0
- energy of formation from the pure elements (eV per atom) = -0.038
- density (g/cm3) = 1.09
- polymorph energy (0 for the lowest one) (meV per atom) = 0

Cell lengths 3.0893, 3.0893, 38.3076 Å; angles 90.00, 90.00, 120.00 degrees
Space group R-3m (No. 166, hexagonal axes)
Asymmetric unit:
Li  0.0000  0.0000  0.0000 x3
Li  0.0000  0.0000  0.1994 x6
Mg  0.0000  0.0000  0.4008 x6